Entry 1:
# Ce2TcTe

Crystalline Ce2TcTe at its relaxed geometry (GGA-PBE, the Alexandria database).

a b c (Å): 3.5752 3.5752 7.6427
angles (deg): 90.00 90.00 90.00
Last column: magnetic moment on the atom in μB.
Atoms (fractional coordinates):
Te (0.5000, 0.5000, 0.5000)  -0.02
Tc (0.5000, 0.5000, 0.0000)  -0.14
Ce (0.0000, 0.0000, 0.7804)  0.44
Ce (0.0000, 0.0000, 0.2196)  0.44

Summary:
* space group: P4/mmm, No. 123
* polymorph energy (0 for the lowest one): 49 meV/atom
* uncorrected energy: -6.85 eV/atom
* formation energy from raw total energies: -0.502 eV per atom
* Fermi-level density of states: 1.742 states/eV/atom
* total moment: 0.893 μB/f.u.


Entry 2:
# Ce3ThTc

Crystalline Ce3ThTc at its relaxed geometry (GGA-PBE, the Alexandria database).

a b c (Å): 5.2688 8.8047 11.3510
angles (deg): 90.00 90.00 90.00
Atoms (fractional coordinates):
Ce (0.2500, 0.6037, 0.0840)
Ce (0.7500, 0.3963, 0.9160)
Ce (0.2500, 0.1037, 0.4160)
Ce (0.7500, 0.8963, 0.5840)
Ce (0.2500, 0.3377, 0.6897)
Ce (0.7500, 0.1623, 0.1897)
Ce (0.2500, 0.8377, 0.8103)
Ce (0.7500, 0.6142, 0.6995)
Ce (0.2500, 0.3858, 0.3005)
Ce (0.7500, 0.1142, 0.8005)
Ce (0.7500, 0.6623, 0.3103)
Ce (0.2500, 0.8858, 0.1995)
Th (0.7500, 0.8322, 0.0161)
Th (0.2500, 0.6678, 0.5161)
Th (0.7500, 0.3322, 0.4839)
Th (0.2500, 0.1678, 0.9839)
Tc (0.2500, 0.0600, 0.6570)
Tc (0.2500, 0.5600, 0.8430)
Tc (0.7500, 0.4400, 0.1570)
Tc (0.7500, 0.9400, 0.3430)

Summary:
* space group: Pnma, No. 62
* polymorph energy (0 for the lowest one): 0 meV/atom
* energy relative to the elements: 0.045 eV/atom
* uncorrected energy: -7.07 eV/atom
* Fermi-level density of states: 2.157 states/eV/atom
* total moment: 0.001 μB/f.u.


Entry 3:
# Ce4ThTc4

Crystalline Ce4ThTc4 at its relaxed geometry (GGA-PBE, the Alexandria database).

a b c (Å): 5.1742 9.2032 9.2032
angles (deg): 90.00 90.00 90.00
Atoms (fractional coordinates):
Ce (0.4171, 0.3093, 0.9263)
Ce (0.9171, 0.5737, 0.8093)
Ce (0.4171, 0.6907, 0.0737)
Ce (0.0829, 0.1907, 0.5737)
Ce (0.5829, 0.9263, 0.6907)
Ce (0.0829, 0.8093, 0.4263)
Ce (0.9171, 0.4263, 0.1907)
Ce (0.5829, 0.0737, 0.3093)
Th (0.0000, 0.0000, 0.0000)
Th (0.5000, 0.5000, 0.5000)
Tc (0.6275, 0.7681, 0.3813)
Tc (0.6275, 0.2319, 0.6187)
Tc (0.1275, 0.8813, 0.7319)
Tc (0.8725, 0.2681, 0.8813)
Tc (0.8725, 0.7319, 0.1187)
Tc (0.3725, 0.3813, 0.2319)
Tc (0.3725, 0.6187, 0.7681)
Tc (0.1275, 0.1187, 0.2681)

Summary:
* space group: P4_2/n, No. 86
* energy relative to the elements: 0.045 eV/atom
* uncorrected energy: -8.02 eV/atom
* Fermi-level density of states: 1.173 states/eV/atom
* total moment: 0.000 μB/f.u.


Entry 4:
# CeThTc

Crystalline CeThTc at its relaxed geometry (GGA-PBE, the Alexandria database).

a b c (Å): 3.5322 3.5322 6.0510
angles (deg): 106.97 106.97 90.00
Atoms (fractional coordinates):
Ce (0.0089, 0.0089, 0.0178)
Th (0.3234, 0.3234, 0.6468)
Tc (0.6677, 0.6677, 0.3354)

Summary:
* space group: I4mm, No. 107
* polymorph energy (0 for the lowest one): 0 meV/atom
* energy relative to the elements: -0.092 eV/atom
* uncorrected energy: -8.00 eV/atom
* Fermi-level density of states: 1.049 states/eV/atom
* total moment: 0.000 μB/f.u.


Entry 5:
# Ce2ThTc2

Crystalline Ce2ThTc2 at its relaxed geometry (GGA-PBE, the Alexandria database).

a b c (Å): 4.0800 6.3312 9.6256
angles (deg): 104.91 90.00 90.00
Atoms (fractional coordinates):
Ce (0.2500, 0.6514, 0.0733)
Ce (0.7500, 0.3486, 0.9267)
Ce (0.2500, 0.1879, 0.6347)
Ce (0.7500, 0.8121, 0.3653)
Th (0.2500, 0.2567, 0.2716)
Th (0.7500, 0.7433, 0.7284)
Tc (0.2500, 0.6691, 0.4927)
Tc (0.7500, 0.3309, 0.5073)
Tc (0.2500, 0.0840, 0.9584)
Tc (0.7500, 0.9160, 0.0416)

Summary:
* space group: P2_1/m, No. 11
* polymorph energy (0 for the lowest one): 97 meV/atom
* energy relative to the elements: -0.006 eV/atom
* uncorrected energy: -8.01 eV/atom
* Fermi-level density of states: 1.491 states/eV/atom
* total moment: 0.000 μB/f.u.


Entry 6:
# CeThTc

Crystalline CeThTc at its relaxed geometry (GGA-PBE, the Alexandria database).

a b c (Å): 7.0081 7.1235 7.3520
angles (deg): 60.36 90.00 90.00
Atoms (fractional coordinates):
Ce (0.6908, 0.8135, 0.0295)
Ce (0.3092, 0.1865, 0.9705)
Ce (0.1908, 0.1865, 0.4705)
Ce (0.8092, 0.8135, 0.5295)
Th (0.1913, 0.7008, 0.9244)
Th (0.3087, 0.7008, 0.4244)
Th (0.8087, 0.2992, 0.0756)
Th (0.6913, 0.2992, 0.5756)
Tc (0.5533, 0.6112, 0.7626)
Tc (0.4467, 0.3888, 0.2374)
Tc (0.9467, 0.6112, 0.2626)
Tc (0.0533, 0.3888, 0.7374)

Summary:
* space group: P2_1/c, No. 14
* polymorph energy (0 for the lowest one): 99 meV/atom
* energy relative to the elements: 0.008 eV/atom
* uncorrected energy: -7.90 eV/atom
* Fermi-level density of states: 1.637 states/eV/atom
* total moment: 0.000 μB/f.u.


Entry 7:
# Ce3ThTc

Crystalline Ce3ThTc at its relaxed geometry (GGA-PBE, the Alexandria database).

a b c (Å): 4.8623 10.0164 7.8495
angles (deg): 129.64 108.04 90.00
Atoms (fractional coordinates):
Ce (0.3691, 0.3704, 0.7382)
Ce (0.6309, 0.6296, 0.2618)
Ce (0.3691, 0.8678, 0.7382)
Ce (0.6309, 0.1322, 0.2618)
Ce (0.1700, 0.4200, 0.3399)
Ce (0.8300, 0.5800, 0.6601)
Th (0.8515, 0.1015, 0.7031)
Th (0.1485, 0.8985, 0.2969)
Tc (0.4960, 0.7460, 0.9919)
Tc (0.5040, 0.2540, 0.0081)

Summary:
* space group: Imma, No. 74
* polymorph energy (0 for the lowest one): 28 meV/atom
* energy relative to the elements: 0.073 eV/atom
* uncorrected energy: -7.04 eV/atom
* Fermi-level density of states: 2.004 states/eV/atom
* total moment: 0.000 μB/f.u.


Entry 8:
# CeThTc

Crystalline CeThTc at its relaxed geometry (GGA-PBE, the Alexandria database).

a b c (Å): 4.0159 4.2115 8.4167
angles (deg): 90.42 89.81 89.97
Atoms (fractional coordinates):
Ce (0.0249, 0.3476, 0.9990)
Ce (0.5209, 0.8281, 0.0478)
Th (0.0221, 0.8400, 0.6680)
Th (0.5238, 0.3357, 0.3788)
Tc (0.5225, 0.3402, 0.7425)
Tc (0.0234, 0.8354, 0.3044)

Summary:
* space group: P-1, No. 2
* polymorph energy (0 for the lowest one): 9 meV/atom
* energy relative to the elements: -0.083 eV/atom
* uncorrected energy: -7.99 eV/atom
* Fermi-level density of states: 1.296 states/eV/atom
* total moment: 0.000 μB/f.u.


Entry 9:
# CeTh2Tc

Crystalline CeTh2Tc at its relaxed geometry (GGA-PBE, the Alexandria database).

a b c (Å): 3.5675 3.5675 8.0483
angles (deg): 90.00 90.00 90.00
Atoms (fractional coordinates):
Ce (0.5000, 0.5000, 0.5000)
Th (0.0000, 0.0000, 0.7806)
Th (0.0000, 0.0000, 0.2194)
Tc (0.5000, 0.5000, 0.0000)

Summary:
* space group: P4/mmm, No. 123
* polymorph energy (0 for the lowest one): 80 meV/atom
* energy relative to the elements: -0.032 eV/atom
* uncorrected energy: -7.82 eV/atom
* Fermi-level density of states: 1.594 states/eV/atom
* total moment: 0.000 μB/f.u.


Entry 10:
# CeThTc2

Crystalline CeThTc2 at its relaxed geometry (GGA-PBE, the Alexandria database).

a b c (Å): 3.5232 4.9653 4.9653
angles (deg): 90.00 90.00 90.00
Atoms (fractional coordinates):
Ce (0.5000, 0.0000, 0.0000)
Th (0.5000, 0.5000, 0.5000)
Tc (0.0000, 0.0000, 0.5000)
Tc (0.0000, 0.5000, 0.0000)

Summary:
* space group: P4/mmm, No. 123
* polymorph energy (0 for the lowest one): 49 meV/atom
* energy relative to the elements: 0.014 eV/atom
* uncorrected energy: -8.51 eV/atom
* Fermi-level density of states: 1.139 states/eV/atom
* total moment: 0.000 μB/f.u.


Entry 11:
# CeThTc2

Crystalline CeThTc2 at its relaxed geometry (GGA-PBE, the Alexandria database).

a b c (Å): 4.9684 4.9684 4.9684
angles (deg): 60.00 60.00 60.00
Atoms (fractional coordinates):
Ce (0.5000, 0.5000, 0.5000)
Th (0.0000, 0.0000, 0.0000)
Tc (0.2500, 0.2500, 0.2500)
Tc (0.7500, 0.7500, 0.7500)

Summary:
* space group: Fm-3m, No. 225
* polymorph energy (0 for the lowest one): 41 meV/atom
* energy relative to the elements: 0.007 eV/atom
* uncorrected energy: -8.51 eV/atom
* Fermi-level density of states: 1.093 states/eV/atom
* total moment: 0.000 μB/f.u.


Entry 12:
# CeTh2Tc

Crystalline CeTh2Tc at its relaxed geometry (GGA-PBE, the Alexandria database).

a b c (Å): 3.8296 3.8296 10.3946
angles (deg): 79.38 79.38 60.00
Last column: magnetic moment on the atom in μB.
Atoms (fractional coordinates):
Ce (0.0000, 0.0000, 0.0000)  1.14
Th (0.1113, 0.1113, 0.6662)  0.05
Th (0.8887, 0.8887, 0.3338)  0.05
Tc (0.5000, 0.5000, 0.5000)  -0.01

Summary:
* space group: R-3m, No. 166
* polymorph energy (0 for the lowest one): 473 meV/atom
* energy relative to the elements: 0.361 eV/atom
* uncorrected energy: -7.42 eV/atom
* Fermi-level density of states: 2.568 states/eV/atom
* total moment: 1.726 μB/f.u.